# MnIn2P (PBE-GGA, relaxed)
data_MnIn2P
_cell_length_a 3.6659
_cell_length_b 3.6659
_cell_length_c 22.4168
_cell_angle_alpha 90.00
_cell_angle_beta 90.00
_cell_angle_gamma 120.00
_symmetry_space_group_name_H-M 'R -3 m'
_symmetry_Int_Tables_number 166
_symmetry_space_group_name_Hall '-R 3 2"'
loop_
_atom_site_label
_atom_site_type_symbol
_atom_site_fract_x
_atom_site_fract_y
_atom_site_fract_z
Mn1 Mn 0.0000 0.0000 0.0000
In1 In 0.0000 0.0000 0.2422
P1 P 0.0000 0.0000 0.5000
# DFT formation energy	332	meV per atom
# density of states at the Fermi level	0.75	states/eV per atom
# total magnetization	12.421	μB per cell
# total energy	-0.17206	hartree per atom
# crystal system	trigonal